Record 1
The following is a PBE calculation of crystalline Pm12PbAu6 at its relaxed geometry, from Alexandria via LeMat-Bulk.

As for the total energy: -4.60 eV/atom. Its formation energy is -0.3680 eV/atom. Its total magnetization is 0.00 μB per formula unit.

```
data_Pm12PbAu6
_chemical_formula_sum 'Pm36 Pb3 Au18'
_cell_length_a 13.6099
_cell_length_b 13.6099
_cell_length_c 11.9565
_cell_angle_alpha 90.00
_cell_angle_beta 90.00
_cell_angle_gamma 120.00
_symmetry_space_group_name_H-M 'R -3'
_symmetry_Int_Tables_number 148
_symmetry_space_group_name_Hall '-R 3'
loop_
_atom_site_label
_atom_site_fract_x
_atom_site_fract_y
_atom_site_fract_z
Pm1 0.0321 0.2116 0.3901
Pm2 0.0356 0.2226 0.8899
Pb1 0.0000 0.0000 0.0000
Au1 0.0409 0.2549 0.6456
```

***

Record 2
The following is a PBE calculation of crystalline MgSnSb at its relaxed geometry, from Alexandria via LeMat-Bulk.

As for the total energy: -3.35 eV/atom. As for the formation energy without anion corrections: -32.5 kJ/mol of formula units. Its total magnetization is 0.00 μB per formula unit.

```
data_MgSnSb
_chemical_formula_sum 'Mg4 Sn4 Sb4'
_cell_length_a 6.500
_cell_length_b 6.485
_cell_length_c 8.433
_cell_angle_alpha 90.00
_cell_angle_beta 110.00
_cell_angle_gamma 90.00
_symmetry_space_group_name_H-M 'C 1 2/m 1'
_symmetry_Int_Tables_number 12
loop_
_symmetry_equiv_pos_as_xyz
'x,y,z'
'-x,-y,-z'
'-x,y,-z'
'x,-y,z'
'x+1/2,y+1/2,z'
'-x+1/2,-y+1/2,-z'
'-x+1/2,y+1/2,-z'
'x+1/2,-y+1/2,z'
loop_
_atom_site_label
_atom_site_fract_x
_atom_site_fract_y
_atom_site_fract_z
Mg1 0.000 0.248 0.000
Sn1 0.101 0.500 0.691
Sb1 0.142 0.000 0.753
```

***

Record 3
The following is a PBE calculation of crystalline CaHgP2O at its relaxed geometry, from Alexandria via LeMat-Bulk.

As for the total energy: -3.12 eV/atom. As for the formation energy without anion corrections: 241.4 kJ/mol of formula units. As for the energy above the most stable polymorph in this dataset: 216.3 meV/atom. Its total magnetization is 0.66 μB per formula unit.

```
data_CaHgP2O
_chemical_formula_sum 'Ca1 Hg1 P2 O1'
_cell_length_a 5.428
_cell_length_b 5.428
_cell_length_c 4.173
_cell_angle_alpha 90.00
_cell_angle_beta 90.00
_cell_angle_gamma 90.00
_symmetry_space_group_name_H-M 'P 4/m m m'
_symmetry_Int_Tables_number 123
_symmetry_space_group_name_Hall '-P 4 2'
loop_
_atom_site_label
_atom_site_fract_x
_atom_site_fract_y
_atom_site_fract_z
Ca1 0.000 0.000 0.000
Hg1 0.500 0.500 0.500
P1 0.000 0.500 0.000
O1 0.000 0.000 0.500
```

***

Record 4
The following is a PBE calculation of crystalline LiFeSbRh at its relaxed geometry, from Alexandria via LeMat-Bulk.

As for the total energy: -5.68 eV/atom. As for the formation energy without anion corrections: -83.5 kJ/mol of formula units. Its total magnetization is 0.20 μB per formula unit.

```
data_LiFeSbRh
_chemical_formula_sum 'Li4 Fe4 Sb4 Rh4'
_cell_length_a 6.064
_cell_length_b 6.064
_cell_length_c 6.064
_cell_angle_alpha 90.00
_cell_angle_beta 90.00
_cell_angle_gamma 90.00
_symmetry_space_group_name_H-M 'F -4 3 m'
_symmetry_Int_Tables_number 216
_symmetry_space_group_name_Hall 'F -4 2 3'
loop_
_atom_site_label
_atom_site_fract_x
_atom_site_fract_y
_atom_site_fract_z
Li1 0.000 0.000 0.000
Fe1 0.250 0.250 0.750
Sb1 0.000 0.000 0.500
Rh1 0.250 0.250 0.250
```